## MnRhSe (PBE-GGA)

Data for a relaxed structure of MnRhSe.

Values from the calculation:
As for the crystal system: monoclinic. The calculation puts the total DFT energy (no corrections) at -6.88 eV/atom.

a = 4.706 Å, b = 4.708 Å, c = 9.527 Å
α = 90.00°, β = 90.77°, γ = 90.00°
Positions (direct):
Mn  0.244  0.000  0.289
Mn  0.256  0.500  0.711
Mn  0.744  0.500  0.289
Mn  0.756  0.000  0.711
Rh  0.248  0.500  0.429
Rh  0.252  0.000  0.571
Rh  0.748  0.000  0.429
Rh  0.752  0.500  0.571
Se  0.241  0.500  0.169
Se  0.259  0.000  0.831
Se  0.741  0.000  0.169
Se  0.759  0.500  0.831



## GaBi2Cl (PBE-GGA)

Data for a relaxed structure of GaBi2Cl.

Values from the calculation:
As for the crystal system: tetragonal. The calculation puts the total DFT energy (no corrections) at -3.27 eV/atom.

a = 4.521 Å, b = 4.521 Å, c = 23.968 Å
α = 90.00°, β = 90.00°, γ = 90.00°
Positions (direct):
Ga  0.000  0.000  0.000
Ga  0.000  0.500  0.250
Ga  0.500  0.000  0.750
Ga  0.500  0.500  0.500
Bi  0.225  0.250  0.125
Bi  0.250  0.725  0.375
Bi  0.250  0.775  0.875
Bi  0.275  0.250  0.625
Bi  0.725  0.750  0.625
Bi  0.750  0.225  0.875
Bi  0.750  0.275  0.375
Bi  0.775  0.750  0.125
Cl  0.000  0.000  0.500
Cl  0.000  0.500  0.750
Cl  0.500  0.000  0.250
Cl  0.500  0.500  0.000



## ScAgMo (PBE-GGA)

Data for a relaxed structure of ScAgMo.

Values from the calculation:
As for the crystal system: trigonal. For the formation energy, the calculation gives 327 meV/atom.

a = 2.952 Å, b = 2.952 Å, c = 7.298 Å
α = 90.00°, β = 90.00°, γ = 120.00°
Positions (direct):
Sc  0.000  0.000  0.000
Ag  0.667  0.333  0.344
Mo  0.333  0.667  0.679



## Pm4As6Rh7 (PBE-GGA)

Data for a relaxed structure of Pm4As6Rh7.

Values from the calculation:
As for the crystal system: cubic. For the formation energy, the calculation gives -971 meV/atom.

a = 7.384 Å, b = 7.384 Å, c = 7.384 Å
α = 109.47°, β = 109.47°, γ = 109.47°
Positions (direct):
Pm  0.000  0.000  0.500
Pm  0.000  0.500  0.000
Pm  0.500  0.000  0.000
Pm  0.500  0.500  0.500
As  0.000  0.322  0.322
As  0.000  0.678  0.678
As  0.322  0.000  0.322
As  0.322  0.322  0.000
As  0.678  0.000  0.678
As  0.678  0.678  0.000
Rh  0.000  0.000  0.000
Rh  0.250  0.500  0.750
Rh  0.250  0.750  0.500
Rh  0.500  0.250  0.750
Rh  0.500  0.750  0.250
Rh  0.750  0.250  0.500
Rh  0.750  0.500  0.250